1.
An optimized crystal structure of Er4HfP5. Source: Alexandria, functional PBE.

Geometry as extended XYZ:
```
10
Lattice="-3.893 3.881 0.577 -6.025 -1.731 -2.532 -3.544 -0.472 5.738" Properties=species:S:1:pos:R:3 pbc="T T T"
P -8.166 -0.555 1.639
P -5.304 2.241 2.145
P -8.713 2.456 4.171
P -1.950 1.944 0.289
P -4.757 -0.770 -0.386
Er -3.415 0.238 1.882
Er -6.679 1.183 -0.012
Er -6.791 0.504 3.797
Er -10.054 1.448 1.903
Hf -0.005 0.005 0.001
```

Summary:
- E_form (eV/f.u.) = -15.47
- symmetry = I4/m (87)
- density of states at the Fermi level (states/eV/f.u.) = 2.1

2.
An optimized crystal structure of Dy3AgPd. Source: Alexandria, functional PBE.

Geometry as extended XYZ:
```
10
Lattice="5.476 -0.255 2.295 1.778 5.186 2.295 0.033 0.022 8.878" Properties=species:S:1:pos:R:3 pbc="T T T"
Dy 2.109 1.433 4.159
Dy 7.017 4.769 6.665
Dy 0.271 0.184 6.804
Dy 5.000 3.398 4.298
Dy 2.287 1.554 9.170
Dy 5.178 3.519 9.310
Ag 2.866 3.620 6.734
Ag 4.421 1.333 6.734
Pd 4.431 1.282 2.295
Pd 2.823 3.648 2.295
```

Summary:
- E_form (eV/f.u.) = -2.06
- symmetry = C2/m (12)
- density of states at the Fermi level (states/eV/f.u.) = 5.2

3.
An optimized crystal structure of Pm5Al2Hg. Source: Alexandria, functional PBE.

Geometry as extended XYZ:
```
16
Lattice="7.070 0.000 -3.337 -1.575 6.892 -3.337 0.140 0.176 9.454" Properties=species:S:1:pos:R:3 pbc="T T T"
Hg 4.191 5.257 -0.279
Hg 1.444 1.811 3.058
Pm 1.341 0.295 5.987
Pm 4.629 1.373 3.797
Pm 6.187 3.327 -2.061
Pm 2.898 2.249 0.130
Pm 2.736 4.819 2.650
Pm 2.747 3.446 -3.337
Pm -0.552 3.741 4.840
Pm 0.000 0.000 0.000
Pm 4.294 6.772 -3.208
Pm 1.005 5.695 -1.017
Al 5.258 4.262 -5.006
Al 1.309 6.076 -4.215
Al 4.186 0.816 -2.459
Al 0.236 2.630 -1.669
```

Summary:
- E_form (eV/f.u.) = -2.37
- symmetry = I4/mcm (140)
- density of states at the Fermi level (states/eV/f.u.) = 7.9

4.
An optimized crystal structure of HRuF5. Source: Alexandria, functional PBE.

Geometry as extended XYZ:
```
14
Lattice="5.403 0.545 1.678 1.431 5.239 1.678 0.629 0.533 7.322" Properties=species:S:1:pos:R:3 pbc="T T T"
F 2.104 4.722 3.492
F 5.908 4.659 7.319
F 5.320 1.560 7.153
F 5.257 4.789 3.658
F 1.518 1.622 3.326
F 4.476 2.182 2.355
F 2.950 4.101 8.290
F 4.218 1.965 4.630
F 3.207 4.319 6.016
F 2.166 1.495 6.987
H 4.300 2.128 3.492
H 3.125 4.155 7.153
Ru 7.444 6.299 10.661
Ru 7.129 6.033 7.000
```

Summary:
- total energy (eV/atom) = -4.773
- symmetry = C2/c (15)

5.
An optimized crystal structure of SiBAu. Source: Alexandria, functional PBE.

Geometry as extended XYZ:
```
12
Lattice="8.324 0.000 0.000 0.000 3.200 0.000 0.000 0.000 6.833" Properties=species:S:1:pos:R:3 pbc="T T T"
Au 6.561 2.400 3.580
Au 5.925 0.800 0.163
Au 2.399 2.400 6.669
Au 1.763 0.800 3.253
Si 4.597 2.400 5.456
Si 7.889 0.800 2.040
Si 0.435 2.400 4.793
Si 3.727 0.800 1.376
B 0.000 0.000 0.000
B 4.162 1.600 3.416
B 4.162 0.000 3.416
B 0.000 1.600 0.000
```

Summary:
- symmetry = Pnma (62)
- density of states at the Fermi level (states/eV/f.u.) = 1.1
- formation energy from raw total energies (kJ per mole of atoms) = 38.34

6.
An optimized crystal structure of Pm2Ho2Tl3. Source: Alexandria, functional PBE.

Geometry as extended XYZ:
```
7
Lattice="-0.145 1.508 3.201 1.806 -2.778 1.391 13.936 8.378 -1.359" Properties=species:S:1:pos:R:3 pbc="T T T"
Pm 2.775 0.423 1.885
Pm 12.822 6.685 1.348
Tl 0.000 0.000 0.000
Tl 10.045 6.260 -0.537
Tl 3.747 3.626 2.379
Ho 6.505 2.453 1.097
Ho 9.093 4.655 2.136
```

Summary:
- E_form (eV/f.u.) = -1.61
- symmetry = Cmmm (65)
- density of states at the Fermi level (states/eV/f.u.) = 7.6